The following is a DFT calculation (PBE) of an optimized crystal structure of Ac3InIr.

polymorph energy (0 for the lowest one): 133.4 meV/atom
DFT formation energy: -1.93 eV per formula unit

Unit cell a=5.805 b=5.805 c=5.805 alpha=90.00 beta=90.00 gamma=90.00
Fractional coordinates of all 5 atoms:
Ac 0.000 0.500 0.000
Ac 0.500 0.000 0.000
Ac 0.000 0.000 0.500
Ir 0.000 0.000 0.000
In 0.500 0.500 0.500